[1]
{
  "formula": "KCaP2S",
  "functional": "PBE",
  "state": "relaxed",
  "raw_formation_energy_ev_per_atom": 0.19,
  "sg": "P4/mmm, No. 123",
  "crystal_system": "tetragonal",
  "n_ef_per_ev_cell": 5.0,
  "e_above_lowest_polymorph_mev_per_atom": 0,
  "cell": [[-2.3624, -4.7598, 0.9532], [4.6646, -2.5193, -1.0197], [1.3268, 0.3726, 5.1487]],
  "species": ["K", "S", "Ca", "P", "P"],
  "fractional_positions": [[0.5000, 0.5000, 0.5000], [0.0000, 0.0000, 0.5000], [0.0000, 0.0000, 0.0000], [0.0000, 0.5000, 0.0000], [0.5000, 0.0000, 0.0000]]
}

[2]
{
  "formula": "CdRhW",
  "functional": "PBE",
  "state": "relaxed",
  "sg": "Cmcm, No. 63",
  "crystal_system": "orthorhombic",
  "n_ef_per_ev_cell": 8.1,
  "ef_ev_per_atom": 0.1140,
  "e_above_lowest_polymorph_mev_per_atom": 217,
  "cell": [[-0.5667, -3.0751, -2.6706], [9.9226, -5.2182, 3.9031], [-2.1928, -2.0533, 2.8295]],
  "species": ["Cd", "W", "Rh", "Rh", "W", "Cd", "Rh", "W", "Rh", "Cd", "W", "Cd"],
  "fractional_positions": [[0.5000, 0.2488, 0.2500], [0.0000, 0.9350, 0.7500], [0.5000, 0.9259, 0.2500], [0.5000, 0.0741, 0.7500], [0.5000, 0.5650, 0.2500], [0.5000, 0.7512, 0.7500], [0.0000, 0.5741, 0.7500], [0.5000, 0.4350, 0.7500], [0.0000, 0.4259, 0.2500], [0.0000, 0.2512, 0.7500], [0.0000, 0.0650, 0.2500], [0.0000, 0.7488, 0.2500]]
}

[3]
{
  "formula": "PbAuBr4",
  "functional": "PBE",
  "state": "relaxed",
  "raw_formation_energy_ev_per_atom": 0.47,
  "sg": "F-43m, No. 216",
  "crystal_system": "cubic",
  "n_ef_per_ev_cell": 7.2,
  "cell": [[0.0000, 4.4265, 4.4265], [4.4265, 0.0000, 4.4265], [4.4265, 4.4265, 0.0000]],
  "species": ["Br", "Br", "Br", "Pb", "Br", "Au"],
  "fractional_positions": [[0.3736, 0.8791, 0.3736], [0.3736, 0.3736, 0.8791], [0.8791, 0.3736, 0.3736], [0.7500, 0.7500, 0.7500], [0.3736, 0.3736, 0.3736], [0.0000, 0.0000, 0.0000]]
}